Density functional theory data (PBE) for Y12Er2Tm5 after structural relaxation.

Calculated values
* distance to the lowest polymorph of the same formula: 0.088 eV per atom
* energy of formation: 0.152 eV per atom
* calculated volume: 32.39 Å³ per atom
* SG: No. 12
* M_tot: 0.00 μB/f.u.

Unit cell a=8.912 b=9.209 c=8.575 alpha=91.74 beta=90.00 gamma=118.94
Fractional positions:
Y1 0.159 0.318 0.871
Y2 0.445 0.891 0.727
Y3 0.593 0.783 0.387
Y4 0.983 0.370 0.223
Y5 0.841 0.682 0.129
Y6 0.017 0.630 0.777
Y7 0.555 0.109 0.273
Y8 0.387 0.370 0.223
Y9 0.810 0.217 0.613
Y10 0.613 0.630 0.777
Y11 0.407 0.217 0.613
Y12 0.190 0.783 0.387
Er1 0.218 0.000 0.000
Er2 0.782 0.000 0.000
Tm1 0.648 0.297 0.945
Tm2 0.759 0.517 0.448
Tm3 0.241 0.483 0.552
Tm4 0.352 0.703 0.055
Tm5 0.000 0.000 0.500